[1]
Here is a relaxed SmPu5As6 crystal from the Alexandria database. Energies are from PBE.

Lattice parameters (Å, degrees): 7.1699 7.1900 7.1856 59.98 80.39 70.52
Last column: nearest neighbours and their distance in Å.
Atoms (fractional coordinates):
Pu  0.5000  0.1652  0.6695  6 As 2.91-2.94
Pu  0.5000  0.5000  0.0000  6 As 2.90-2.94
Pu  0.5000  0.8348  0.3305  6 As 2.91-2.94
Pu  0.0000  0.6670  0.6661  6 As 2.93
Pu  0.0000  0.3330  0.3339  6 As 2.93
Sm  0.0000  0.0000  0.0000  6 As 2.97
As  0.7474  0.0842  0.3380  5 Pu 2.91-2.94, 1 Sm 2.97
As  0.7482  0.7459  0.0000  5 Pu 2.90-2.93, 1 Sm 2.97
As  0.2526  0.9158  0.6620  5 Pu 2.91-2.94, 1 Sm 2.97
As  0.2526  0.5778  0.3380  5 Pu 2.91-2.94, 1 Sm 2.97
As  0.2518  0.2541  0.0000  5 Pu 2.90-2.93, 1 Sm 2.97
As  0.7474  0.4222  0.6620  5 Pu 2.91-2.94, 1 Sm 2.97

Results
The density comes out at 9.99 Mg/m³. For the calculated total energy, the calculation gives -9.7629 eV per atom. The formation energy is -1.073 eV/atom. As for the volume: 302.4 Å³ per cell. The value obtained for the density of states at the Fermi level is 4.486 states/eV/atom.

---

[2]
Here is a relaxed SmPuAs crystal from the Alexandria database. Energies are from PBE.

Lattice parameters (Å, degrees): 3.8461 3.8461 5.7119 109.67 109.67 90.00
Last column: nearest neighbours and their distance in Å.
Atoms (fractional coordinates):
As  0.6676  0.6676  0.3352  4 Sm 3.09, 4 Pu 3.10
Pu  0.0194  0.0194  0.0388  1 Sm 2.95, 4 As 3.10
Sm  0.3130  0.3130  0.6260  1 Pu 2.95, 4 As 3.09

Results
The density comes out at 10.49 Mg/m³. For the calculated total energy, the calculation gives -8.4722 eV per atom. The formation energy is -0.572 eV/atom. As for the volume: 74.3 Å³ per cell. The value obtained for the density of states at the Fermi level is 2.423 states/eV/atom.

---

[3]
Here is a relaxed Sm3PuAs4 crystal from the Alexandria database. Energies are from PBE.

Lattice parameters (Å, degrees): 4.1999 7.2582 7.2582 109.46 90.00 90.00
Last column: nearest neighbours and their distance in Å.
Atoms (fractional coordinates):
As  0.0000  0.7555  0.7555  2 Pu 2.93, 4 Sm 2.96-3.00
As  0.0000  0.2445  0.2445  2 Pu 2.93, 4 Sm 2.96-3.00
As  0.5000  0.7527  0.2473  1 Pu 2.93, 5 Sm 2.97-3.00
As  0.5000  0.2473  0.7527  1 Pu 2.93, 5 Sm 2.97-3.00
Sm  0.5000  0.5000  0.5000  6 As 3.00
Sm  0.0000  0.5000  0.0000  6 As 2.96-2.97
Sm  0.0000  0.0000  0.5000  6 As 2.96-2.97
Pu  0.5000  0.0000  0.0000  6 As 2.93

Results
The density comes out at 7.92 Mg/m³. For the calculated total energy, the calculation gives -7.2774 eV per atom. The formation energy is -1.391 eV/atom. As for the volume: 208.6 Å³ per cell. The value obtained for the density of states at the Fermi level is 1.714 states/eV/atom. As for the offset from the most stable computed form: 0.0 kJ per mole of atoms.

---

[4]
Here is a relaxed Sm3PuAs4 crystal from the Alexandria database. Energies are from PBE.

Lattice parameters (Å, degrees): 5.9323 5.9323 5.9323 90.00 90.00 90.00
Last column: nearest neighbours and their distance in Å.
Atoms (fractional coordinates):
As  0.0000  0.0000  0.5000  4 Sm 2.97, 2 Pu 2.97
As  0.5000  0.0000  0.0000  4 Sm 2.97, 2 Pu 2.97
As  0.0000  0.5000  0.0000  4 Sm 2.97, 2 Pu 2.97
As  0.5000  0.5000  0.5000  6 Sm 2.97
Pu  0.0000  0.0000  0.0000  6 As 2.97
Sm  0.5000  0.5000  0.0000  6 As 2.97
Sm  0.5000  0.0000  0.5000  6 As 2.97
Sm  0.0000  0.5000  0.5000  6 As 2.97

Results
The density comes out at 7.91 Mg/m³. For the calculated total energy, the calculation gives -7.2726 eV per atom. The formation energy is -1.387 eV/atom. As for the volume: 208.8 Å³ per cell. The value obtained for the density of states at the Fermi level is 2.088 states/eV/atom. As for the offset from the most stable computed form: 0.5 kJ per mole of atoms.

---

[5]
Here is a relaxed Sm5PuAs6 crystal from the Alexandria database. Energies are from PBE.

Lattice parameters (Å, degrees): 7.2740 7.2740 7.2750 99.60 99.60 120.00
Last column: nearest neighbours and their distance in Å.
Atoms (fractional coordinates):
Sm  0.5000  0.5000  0.5000  6 As 2.97-3.01
Sm  0.1677  0.8323  0.5000  6 As 2.97-3.00
Sm  0.3337  0.6663  0.0000  6 As 2.97-2.98
Sm  0.6663  0.3337  0.0000  6 As 2.97-2.98
Sm  0.8323  0.1677  0.5000  6 As 2.97-3.00
As  0.4108  0.0824  0.2474  1 Pu 2.93, 5 Sm 2.97-3.00
As  0.5892  0.9176  0.7526  1 Pu 2.93, 5 Sm 2.97-3.00
As  0.9176  0.5892  0.7526  1 Pu 2.93, 5 Sm 2.97-3.00
As  0.7540  0.7540  0.2472  1 Pu 2.93, 5 Sm 2.97-3.01
As  0.0824  0.4108  0.2474  1 Pu 2.93, 5 Sm 2.97-3.00
As  0.2460  0.2460  0.7528  1 Pu 2.93, 5 Sm 2.97-3.01
Pu  0.0000  0.0000  0.0000  6 As 2.93

Results
The density comes out at 7.64 Mg/m³. For the calculated total energy, the calculation gives -6.9204 eV per atom. The formation energy is -1.435 eV/atom. As for the volume: 314.3 Å³ per cell. The value obtained for the density of states at the Fermi level is 1.223 states/eV/atom.

---

[6]
Here is a relaxed Sm5Pu3As8 crystal from the Alexandria database. Energies are from PBE.

Lattice parameters (Å, degrees): 8.3733 8.3733 8.3573 59.94 59.94 60.00
Last column: nearest neighbours and their distance in Å.
Atoms (fractional coordinates):
As  0.7500  0.7500  0.2559  2 Pu 2.92, 4 Sm 2.96-2.99
As  0.2472  0.2472  0.2585  3 Pu 2.92, 3 Sm 2.99
As  0.2500  0.2500  0.7441  2 Pu 2.92, 4 Sm 2.96-2.99
As  0.7558  0.2500  0.7441  2 Pu 2.92, 4 Sm 2.96-2.99
As  0.7500  0.2442  0.2559  2 Pu 2.92, 4 Sm 2.96-2.99
As  0.2500  0.7558  0.7441  2 Pu 2.92, 4 Sm 2.96-2.99
As  0.2442  0.7500  0.2559  2 Pu 2.92, 4 Sm 2.96-2.99
As  0.7528  0.7528  0.7415  3 Pu 2.92, 3 Sm 2.99
Sm  0.5000  0.0000  0.0000  6 As 2.99
Sm  0.0000  0.0000  0.0000  6 As 2.96
Sm  0.5000  0.5000  0.5000  6 As 2.96
Sm  0.0000  0.5000  0.0000  6 As 2.99
Sm  0.5000  0.5000  0.0000  6 As 2.99
Pu  0.0000  0.5000  0.5000  6 As 2.92
Pu  0.0000  0.0000  0.5000  6 As 2.92
Pu  0.5000  0.0000  0.5000  6 As 2.92

Results
The density comes out at 8.36 Mg/m³. For the calculated total energy, the calculation gives -7.8181 eV per atom. The formation energy is -1.331 eV/atom. As for the volume: 413.9 Å³ per cell. The value obtained for the density of states at the Fermi level is 2.261 states/eV/atom.